Entry 1:
# Y2FeTe

A geometry-optimized Y2FeTe structure (PBE-GGA, Alexandria via LeMat-Bulk).

Structure (CIF):
```
data_Y2FeTe
_cell_length_a 7.706
_cell_length_b 7.706
_cell_length_c 6.598
_cell_angle_alpha 90.00
_cell_angle_beta 90.00
_cell_angle_gamma 90.00
_space_group_name_H-M_alt 'I -4 2 d'
_space_group_IT_number 122
_space_group_name_Hall 'I -4 2bw'
loop_
_atom_site_label
_atom_site_fract_x
_atom_site_fract_y
_atom_site_fract_z
Y1 0.191 0.750 0.125
Fe1 0.000 0.000 0.000
Te1 0.000 0.000 0.500
```

Output
Theoretical density = 6.125 g/cm3
Total energy = -6.20 eV/atom
D(E_F) = 17.0 states/eV per cell
Formation energy without anion corrections = -70 meV/atom
Offset from the most stable computed form = 451.1 meV/atom
Volume = 24.5 A^3/atom

=====

Entry 2:
# Ti3PtS

A geometry-optimized Ti3PtS structure (PBE-GGA, Alexandria via LeMat-Bulk).

Structure (CIF):
```
data_Ti3PtS
_cell_length_a 4.410
_cell_length_b 4.410
_cell_length_c 4.410
_cell_angle_alpha 90.00
_cell_angle_beta 90.00
_cell_angle_gamma 90.00
_space_group_name_H-M_alt 'P m -3 m'
_space_group_IT_number 221
_space_group_name_Hall '-P 4 2 3'
loop_
_atom_site_label
_atom_site_fract_x
_atom_site_fract_y
_atom_site_fract_z
Ti1 0.000 0.000 0.500
Pt1 0.500 0.500 0.500
S1 0.000 0.000 0.000
```

Output
Theoretical density = 7.180 g/cm3
Total energy = -7.33 eV/atom
D(E_F) = 5.1 states/eV per cell
Formation energy without anion corrections = -560 meV/atom
Offset from the most stable computed form = 0.0 meV/atom
Volume = 17.1 A^3/atom

=====

Entry 3:
# BeHgBi2

A geometry-optimized BeHgBi2 structure (PBE-GGA, Alexandria via LeMat-Bulk).

Structure (CIF):
```
data_BeHgBi2
_cell_length_a 7.376
_cell_length_b 7.376
_cell_length_c 7.376
_cell_angle_alpha 90.00
_cell_angle_beta 90.00
_cell_angle_gamma 90.00
_space_group_name_H-M_alt 'F m -3 m'
_space_group_IT_number 225
_space_group_name_Hall '-F 4 2 3'
loop_
_atom_site_label
_atom_site_fract_x
_atom_site_fract_y
_atom_site_fract_z
Be1 0.000 0.000 0.000
Hg1 0.000 0.000 0.500
Bi1 0.250 0.250 0.250
```

Output
Theoretical density = 10.386 g/cm3
Total energy = -2.38 eV/atom
D(E_F) = 11.8 states/eV per cell
Offset from the most stable computed form = 220.5 meV/atom
Volume = 25.1 A^3/atom